! GdSiNi2 (PBE-GGA, relaxed); values from VASP
&SYSTEM
  ibrav = 0, nat = 8, ntyp = 3
/
ATOMIC_SPECIES
Gd 157.25 Gd.upf
Si 28.09 Si.upf
Ni 58.69 Ni.upf
ATOMIC_POSITIONS angstrom
Gd 0.0000 0.3189 0.0000
Gd 0.0000 4.0777 3.5158
Si 2.1290 1.2869 4.7547
Si 2.1290 3.1097 1.2389
Ni 0.0000 2.1410 5.2243
Ni 0.0000 2.2556 1.7085
Ni 2.1290 1.0137 2.2513
Ni 2.1290 3.3829 5.7671
CELL_PARAMETERS angstrom
4.2581 0.0000 0.0000
0.0000 4.3966 0.0000
0.0000 0.0000 7.0316
! Uncorrected energy = -23.11 eV per formula unit
! Volume = 16.45 Å³ per atom

! SmHo2In3Ni3 (PBE-GGA, relaxed); values from VASP
&SYSTEM
  ibrav = 0, nat = 9, ntyp = 4
/
ATOMIC_SPECIES
Sm 150.36 Sm.upf
Ho 164.93 Ho.upf
In 114.82 In.upf
Ni 58.69 Ni.upf
ATOMIC_POSITIONS angstrom
Sm 0.0000 0.0000 0.0000
Ho 0.0000 -2.6488 2.8544
Ho 0.0000 2.6488 2.8544
In 1.9051 0.0000 2.5150
In 1.9051 -1.6514 5.3202
In 1.9051 1.6514 5.3202
Ni 0.0000 0.0000 4.3773
Ni 1.9051 -4.2794 4.3909
Ni 1.9051 4.2794 4.3909
CELL_PARAMETERS angstrom
3.8103 0.0000 0.0000
0.0000 6.4474 3.7310
0.0000 -6.4474 3.7310
! Uncorrected energy = -43.31 eV per formula unit
! Volume = 20.37 Å³ per atom

! NaCuSi (PBE-GGA, relaxed); values from VASP
&SYSTEM
  ibrav = 0, nat = 12, ntyp = 3
/
ATOMIC_SPECIES
Na 22.99 Na.upf
Cu 63.55 Cu.upf
Si 28.09 Si.upf
ATOMIC_POSITIONS angstrom
Na 0.0000 0.0000 0.0000
Na 0.0000 3.1185 3.1185
Na 3.1185 0.0000 3.1185
Na 3.1185 3.1185 0.0000
Cu 1.5592 1.5592 4.6777
Cu 1.5592 4.6777 1.5592
Cu 4.6777 1.5592 1.5592
Cu 4.6777 4.6777 4.6777
Si 1.5592 1.5592 1.5592
Si 1.5592 4.6777 4.6777
Si 4.6777 1.5592 4.6777
Si 4.6777 4.6777 1.5592
CELL_PARAMETERS angstrom
6.2370 0.0000 0.0000
0.0000 6.2370 0.0000
0.0000 0.0000 6.2370
! Uncorrected energy = -7.64 eV per formula unit
! Volume = 20.22 Å³ per atom

! Pm5SnIr2 (PBE-GGA, relaxed); values from VASP
&SYSTEM
  ibrav = 0, nat = 16, ntyp = 3
/
ATOMIC_SPECIES
Pm 145.00 Pm.upf
Sn 118.71 Sn.upf
Ir 192.22 Ir.upf
ATOMIC_POSITIONS angstrom
Pm 0.0000 0.0000 0.0000
Pm 5.2679 1.2825 -1.8539
Pm 1.2825 2.7028 -1.8539
Pm 5.2679 1.2825 1.8539
Pm 1.2825 2.7028 1.8539
Pm 0.0000 0.0000 6.9227
Pm 2.7028 1.2825 5.0687
Pm -1.2825 2.7028 5.0687
Pm 2.7028 1.2825 8.7766
Pm -1.2825 2.7028 8.7766
Sn 0.0000 0.0000 3.4613
Sn 0.0000 0.0000 10.3840
Ir 2.8821 1.1033 0.0000
Ir 2.8821 -1.1033 6.9227
Ir 1.1033 5.0886 0.0000
Ir 1.1033 2.8821 6.9227
CELL_PARAMETERS angstrom
-3.9854 3.9854 6.9227
3.9854 -3.9854 6.9227
3.9854 3.9854 -6.9227
! Uncorrected energy = -50.78 eV per formula unit
! Volume = 27.49 Å³ per atom

! Nd2CuGe4Pt (PBE-GGA, relaxed); values from VASP
&SYSTEM
  ibrav = 0, nat = 16, ntyp = 4
/
ATOMIC_SPECIES
Nd 144.24 Nd.upf
Cu 63.55 Cu.upf
Ge 72.64 Ge.upf
Pt 195.08 Pt.upf
ATOMIC_POSITIONS angstrom
Nd 0.0000 0.0000 0.0000
Nd 0.0000 2.1643 8.6529
Nd 2.1932 0.0000 3.6795
Nd 2.1932 2.1643 12.3324
Cu 2.1932 0.0000 7.5153
Cu 2.1932 2.1643 16.1682
Ge 0.0000 0.0000 6.2725
Ge 0.0000 0.0000 11.1679
Ge 0.0000 2.1643 2.5151
Ge 0.0000 2.1643 14.9253
Ge 2.1932 0.0000 9.8912
Ge 2.1932 0.0000 14.9100
Ge 2.1932 2.1643 1.2383
Ge 2.1932 2.1643 6.2571
Pt 0.0000 0.0000 13.6303
Pt 0.0000 2.1643 4.9774
CELL_PARAMETERS angstrom
4.3864 0.0000 0.0000
0.0000 4.3286 0.0000
0.0000 0.0000 17.3058
! Uncorrected energy = -43.58 eV per formula unit
! Volume = 20.54 Å³ per atom

! Na2AgIrO6 (PBE-GGA, relaxed); values from VASP
&SYSTEM
  ibrav = 0, nat = 10, ntyp = 4
/
ATOMIC_SPECIES
Na 22.99 Na.upf
Ag 107.87 Ag.upf
Ir 192.22 Ir.upf
O 16.00 O.upf
ATOMIC_POSITIONS angstrom
Na 2.0009 2.0009 2.0009
Na 6.0027 6.0027 6.0027
Ag 0.0000 0.0000 0.0000
Ir 4.0018 4.0018 4.0018
O 4.0018 4.0018 2.1255
O 4.0018 2.1255 4.0018
O 5.8780 4.0018 4.0018
O 2.1255 4.0018 4.0018
O 4.0018 5.8780 4.0018
O 4.0018 4.0018 5.8780
CELL_PARAMETERS angstrom
0.0000 4.0018 4.0018
4.0018 0.0000 4.0018
4.0018 4.0018 0.0000
! Uncorrected energy = -49.68 eV per formula unit
! Volume = 12.82 Å³ per atom

Question: Among the records above, which one has the lowest uncorrected energy?
Answer: Pm5SnIr2

Question: Among the records above, which one has the lowest volume?
Answer: Na2AgIrO6

Question: The highest volume belongs to which entry?
Answer: Pm5SnIr2